Record 1
A plane-wave DFT calculation with meta-GGA SCAN was carried out for a PBEsol-optimized structure of Y2SiSb.

Geometry as CIF:
```
data_Y2SiSb
_cell_length_a 4.247
_cell_length_b 4.247
_cell_length_c 10.380
_cell_angle_alpha 90.00
_cell_angle_beta 90.00
_cell_angle_gamma 90.00
_space_group_name_H-M_alt 'I -4 m 2'
_space_group_IT_number 119
_space_group_name_Hall 'I -4 -2'
loop_
_atom_site_label
_atom_site_type_symbol
_atom_site_fract_x
_atom_site_fract_y
_atom_site_fract_z
Y1 Y 0.000 0.000 0.000
Y2 Y 0.000 0.500 0.250
Si1 Si 0.000 0.500 0.750
Sb1 Sb 0.000 0.000 0.500
```

N(E_F): 2.84 states/eV per cell
VASP energy: -106.0 eV per formula unit
energy above the lowest structure with this stoichiometry: 129.9 meV per atom
size of the total moment: 0.0 μB per cell

=====

Record 2
A plane-wave DFT calculation with meta-GGA SCAN was carried out for a PBEsol-optimized structure of Y2SiSb.

Geometry as CIF:
```
data_Y2SiSb
_cell_length_a 10.947
_cell_length_b 4.182
_cell_length_c 4.169
_cell_angle_alpha 90.00
_cell_angle_beta 93.00
_cell_angle_gamma 90.00
_space_group_name_H-M_alt 'C 1 m 1'
_space_group_IT_number 8
loop_
_space_group_symop_operation_xyz
'x,y,z'
'x,-y,z'
'x+1/2,y+1/2,z'
'x+1/2,-y+1/2,z'
loop_
_atom_site_label
_atom_site_type_symbol
_atom_site_fract_x
_atom_site_fract_y
_atom_site_fract_z
Y1 Y 0.000 0.000 0.000
Y2 Y 0.227 0.500 0.506
Si1 Si 0.260 0.000 0.014
Sb1 Sb 0.448 0.000 0.491
```

N(E_F): 2.94 states/eV per cell
VASP energy: -106.5 eV per formula unit
energy above the lowest structure with this stoichiometry: 0.0 meV per atom
size of the total moment: 0.0 μB per cell

=====

Record 3
A plane-wave DFT calculation with meta-GGA SCAN was carried out for a PBEsol-optimized structure of ZnSi2Sb.

Geometry as CIF:
```
data_ZnSi2Sb
_cell_length_a 3.0677
_cell_length_b 3.0677
_cell_length_c 26.9652
_cell_angle_alpha 90.00
_cell_angle_beta 90.00
_cell_angle_gamma 120.00
_space_group_name_H-M_alt 'R -3 m'
_space_group_IT_number 166
_space_group_name_Hall '-R 3 2"'
loop_
_atom_site_label
_atom_site_type_symbol
_atom_site_fract_x
_atom_site_fract_y
_atom_site_fract_z
Zn1 Zn 0.0000 0.0000 0.0000
Si1 Si 0.0000 0.0000 0.2620
Sb1 Sb 0.0000 0.0000 0.5000
```

N(E_F): 5.23 states/eV per cell
VASP energy: -68.2 eV per formula unit
energy above the lowest structure with this stoichiometry: 354.3 meV per atom
size of the total moment: 0.0 μB per cell

=====

Record 4
A plane-wave DFT calculation with meta-GGA SCAN was carried out for a PBEsol-optimized structure of Zn2SiSb.

Geometry as CIF:
```
data_Zn2SiSb
_cell_length_a 3.582
_cell_length_b 3.792
_cell_length_c 10.896
_cell_angle_alpha 90.00
_cell_angle_beta 90.00
_cell_angle_gamma 90.00
_space_group_name_H-M_alt 'I m m 2'
_space_group_IT_number 44
loop_
_space_group_symop_operation_xyz
'x,y,z'
'-x,-y,z'
'-x,y,z'
'x,-y,z'
'x+1/2,y+1/2,z+1/2'
'-x+1/2,-y+1/2,z+1/2'
'-x+1/2,y+1/2,z+1/2'
'x+1/2,-y+1/2,z+1/2'
loop_
_atom_site_label
_atom_site_type_symbol
_atom_site_fract_x
_atom_site_fract_y
_atom_site_fract_z
Zn1 Zn 0.000 0.000 0.000
Zn2 Zn 0.000 0.500 0.171
Si1 Si 0.000 0.000 0.491
Sb1 Sb 0.000 0.500 0.792
```

N(E_F): 2.68 states/eV per cell
VASP energy: -73.1 eV per formula unit
energy above the lowest structure with this stoichiometry: 0.0 meV per atom
size of the total moment: 0.0 μB per cell

=====

Record 5
A plane-wave DFT calculation with meta-GGA SCAN was carried out for a PBEsol-optimized structure of Zn2SiSb.

Geometry as CIF:
```
data_Zn2SiSb
_cell_length_a 3.427
_cell_length_b 3.427
_cell_length_c 6.141
_cell_angle_alpha 90.00
_cell_angle_beta 90.00
_cell_angle_gamma 90.00
_space_group_name_H-M_alt 'P 4 m m'
_space_group_IT_number 99
loop_
_space_group_symop_operation_xyz
'x,y,z'
'-y,x,z'
'-x,-y,z'
'y,-x,z'
'-x,y,z'
'y,x,z'
'x,-y,z'
'-y,-x,z'
loop_
_atom_site_label
_atom_site_type_symbol
_atom_site_fract_x
_atom_site_fract_y
_atom_site_fract_z
Zn1 Zn 0.000 0.000 0.000
Zn2 Zn 0.500 0.500 0.228
Si1 Si 0.500 0.500 0.815
Sb1 Sb 0.000 0.000 0.505
```

N(E_F): 1.59 states/eV per cell
VASP energy: -72.6 eV per formula unit
energy above the lowest structure with this stoichiometry: 121.8 meV per atom
size of the total moment: 0.0 μB per cell

=====

Record 6
A plane-wave DFT calculation with meta-GGA SCAN was carried out for a PBEsol-optimized structure of Zn2Si2Sb.

Geometry as CIF:
```
data_Zn2Si2Sb
_cell_length_a 4.184
_cell_length_b 4.184
_cell_length_c 10.261
_cell_angle_alpha 90.00
_cell_angle_beta 90.00
_cell_angle_gamma 90.00
_space_group_name_H-M_alt 'I 4/m m m'
_space_group_IT_number 139
_space_group_name_Hall '-I 4 2'
loop_
_atom_site_label
_atom_site_type_symbol
_atom_site_fract_x
_atom_site_fract_y
_atom_site_fract_z
Zn1 Zn 0.000 0.500 0.250
Si1 Si 0.000 0.000 0.112
Sb1 Sb 0.000 0.000 0.500
```

N(E_F): 3.32 states/eV per cell
VASP energy: -82.5 eV per formula unit
size of the total moment: 0.0 μB per cell

=====

Record 7
A plane-wave DFT calculation with meta-GGA SCAN was carried out for a PBEsol-optimized structure of Zn2SiSb.

Geometry as CIF:
```
data_Zn2SiSb
_cell_length_a 5.610
_cell_length_b 7.176
_cell_length_c 3.636
_cell_angle_alpha 90.00
_cell_angle_beta 90.00
_cell_angle_gamma 90.00
_space_group_name_H-M_alt 'C m m m'
_space_group_IT_number 65
_space_group_name_Hall '-C 2 2'
loop_
_atom_site_label
_atom_site_type_symbol
_atom_site_fract_x
_atom_site_fract_y
_atom_site_fract_z
Zn1 Zn 0.250 0.250 0.000
Si1 Si 0.000 0.000 0.500
Sb1 Sb 0.000 0.500 0.500
```

N(E_F): 2.87 states/eV per cell
VASP energy: -72.5 eV per formula unit
energy above the lowest structure with this stoichiometry: 147.8 meV per atom
size of the total moment: 0.0 μB per cell

=====

Record 8
A plane-wave DFT calculation with meta-GGA SCAN was carried out for a PBEsol-optimized structure of ZnSi2Sb.

Geometry as CIF:
```
data_ZnSi2Sb
_cell_length_a 3.439
_cell_length_b 3.439
_cell_length_c 6.908
_cell_angle_alpha 90.00
_cell_angle_beta 90.00
_cell_angle_gamma 90.00
_space_group_name_H-M_alt 'P 4 m m'
_space_group_IT_number 99
loop_
_space_group_symop_operation_xyz
'x,y,z'
'-y,x,z'
'-x,-y,z'
'y,-x,z'
'-x,y,z'
'y,x,z'
'x,-y,z'
'-y,-x,z'
loop_
_atom_site_label
_atom_site_type_symbol
_atom_site_fract_x
_atom_site_fract_y
_atom_site_fract_z
Zn1 Zn 0.000 0.000 0.000
Si1 Si 0.000 0.000 0.658
Si2 Si 0.500 0.500 0.579
Sb1 Sb 0.500 0.500 0.202
```

N(E_F): 1.11 states/eV per cell
VASP energy: -69.6 eV per formula unit
energy above the lowest structure with this stoichiometry: 0.0 meV per atom
size of the total moment: 0.0 μB per cell